Here is an optimized crystal structure of ZrNiN2F from the Alexandria database. Energies are from PBE+U.

abc: 4.2267 4.2267 4.0949
angles: 90.00 90.00 90.00
Space group P4/mmm (No. 123)
Symmetry-distinct sites (fractional):
Zr (0.0000, 0.0000, 0.0000)
Ni (0.5000, 0.5000, 0.5000)
N (0.0000, 0.5000, 0.0000)
F (0.0000, 0.0000, 0.5000)

## Properties
The value obtained for the volume is 73.2 Å³ per cell. The polymorph energy (0 for the lowest one) comes out at 0.159 eV per atom. The total energy comes out at -6.092 eV/atom.